Entry 1:
# CrCo2Re | Alexandria | PBE | relaxed
# Theoretical density = 12.334 g cm⁻³
# Total energy = -0.3267 hartree per atom
# Total magnetic moment = 0.24 μB per formula unit
# Formation enthalpy at 0 K = 181 meV per atom
data_CrCo2Re
_chemical_formula_sum 'Cr4 Co8 Re4'
_cell_length_a 5.767
_cell_length_b 5.767
_cell_length_c 5.767
_cell_angle_alpha 90.00
_cell_angle_beta 90.00
_cell_angle_gamma 90.00
_space_group_name_H-M_alt 'F -4 3 m'
_space_group_IT_number 216
_space_group_name_Hall 'F -4 2 3'
loop_
_atom_site_label
_atom_site_type_symbol
_atom_site_fract_x
_atom_site_fract_y
_atom_site_fract_z
Cr1 Cr 0.000 0.000 0.000
Co1 Co 0.000 0.000 0.500
Co2 Co 0.250 0.250 0.250
Re1 Re 0.250 0.250 0.750

Entry 2:
# Cr3CoRe | Alexandria | PBE | relaxed
# Theoretical density = 7.672 g cm⁻³
# Total energy = -0.2843 hartree per atom
# Total magnetic moment = 0.00 μB per formula unit
# Formation enthalpy at 0 K = 1947 meV per atom
data_Cr3CoRe
_chemical_formula_sum 'Cr3 Co1 Re1'
_cell_length_a 4.428
_cell_length_b 4.428
_cell_length_c 4.428
_cell_angle_alpha 90.00
_cell_angle_beta 90.00
_cell_angle_gamma 90.00
_space_group_name_H-M_alt 'P m -3 m'
_space_group_IT_number 221
_space_group_name_Hall '-P 4 2 3'
loop_
_atom_site_label
_atom_site_type_symbol
_atom_site_fract_x
_atom_site_fract_y
_atom_site_fract_z
Cr1 Cr 0.000 0.000 0.500
Co1 Co 0.500 0.500 0.500
Re1 Re 0.000 0.000 0.000

Entry 3:
# CrCo4Re | Alexandria | PBE | relaxed
# Theoretical density = 11.342 g cm⁻³
# Total energy = -0.3060 hartree per atom
# Total magnetic moment = 3.82 μB per formula unit
# Formation enthalpy at 0 K = 89 meV per atom
data_CrCo4Re
_chemical_formula_sum 'Cr2 Co8 Re2'
_cell_length_a 4.015
_cell_length_b 4.971
_cell_length_c 6.953
_cell_angle_alpha 90.00
_cell_angle_beta 90.00
_cell_angle_gamma 90.00
_space_group_name_H-M_alt 'I m m m'
_space_group_IT_number 71
_space_group_name_Hall '-I 2 2'
loop_
_atom_site_label
_atom_site_type_symbol
_atom_site_fract_x
_atom_site_fract_y
_atom_site_fract_z
Cr1 Cr 0.000 0.000 0.000
Co1 Co 0.000 0.251 0.333
Re1 Re 0.000 0.500 0.000

Entry 4:
# CrCo2Re | Alexandria | PBE | relaxed
# Theoretical density = 11.817 g cm⁻³
# Total energy = -0.3251 hartree per atom
# Total magnetic moment = 6.05 μB per formula unit
# Formation enthalpy at 0 K = 223 meV per atom
data_CrCo2Re
_chemical_formula_sum 'Cr4 Co8 Re4'
_cell_length_a 5.849
_cell_length_b 5.849
_cell_length_c 5.849
_cell_angle_alpha 90.00
_cell_angle_beta 90.00
_cell_angle_gamma 90.00
_space_group_name_H-M_alt 'F m -3 m'
_space_group_IT_number 225
_space_group_name_Hall '-F 4 2 3'
loop_
_atom_site_label
_atom_site_type_symbol
_atom_site_fract_x
_atom_site_fract_y
_atom_site_fract_z
Cr1 Cr 0.000 0.000 0.000
Co1 Co 0.250 0.250 0.250
Re1 Re 0.000 0.000 0.500